(1)
VASP calculation (PBE-GGA) on crystalline CaPb2Cl at its relaxed geometry.

The calculation puts the total DFT energy (no corrections) at -0.24852 Ry/atom. The total magnetic moment comes out at 0.00 Bohr magnetons per cell. As for the energy above the most stable polymorph in this dataset: 297 meV/atom.

The space group is Pmmm (No. 47) and the conventional cell measures 3.775, 5.617 and 5.880 Å, with angles of 90.00, 90.00 and 90.00 degrees. Symmetry generates all atoms from Ca at (0.000, 0.000, 0.000), Pb at (0.500, 0.500, 0.244) and Cl at (0.000, 0.000, 0.500).

(2)
VASP calculation (PBE-GGA) on crystalline Ca5PbCl12 at its relaxed geometry.

The calculation puts the total DFT energy (no corrections) at -0.30669 Ry/atom. The total magnetic moment comes out at 0.00 Bohr magnetons per cell.

The space group is C2/m (No. 12) and the conventional cell measures 7.224, 12.547 and 13.053 Å, with angles of 90.00, 90.03 and 90.00 degrees. Symmetry generates all atoms from Ca at (0.000, 0.000, 0.000), Ca at (0.000, 0.167, 0.500), Ca at (0.000, 0.333, 0.000), Pb at (0.000, 0.500, 0.500), Cl at (0.150, 0.000, 0.611), Cl at (0.166, 0.167, 0.894), Cl at (0.166, 0.500, 0.894) and Cl at (0.175, 0.325, 0.611).

(3)
VASP calculation (PBE-GGA) on crystalline Ca2PbCl at its relaxed geometry.

The calculation puts the total DFT energy (no corrections) at -0.26016 Ry/atom. The total magnetic moment comes out at 0.00 Bohr magnetons per cell. As for the energy above the most stable polymorph in this dataset: 26 meV/atom.

The space group is Pmmm (No. 47) and the conventional cell measures 3.701, 4.293 and 7.975 Å, with angles of 90.00, 90.00 and 90.00 degrees. Symmetry generates all atoms from Ca at (0.000, 0.000, 0.223), Pb at (0.500, 0.500, 0.000) and Cl at (0.500, 0.000, 0.500).